# 1
Computed, not measured: a relaxed RbInCu2Te4 crystal at the PBE level of DFT.

Space-group type   I222, No. 23

Cell and atoms, written as POSCAR:
```
RbInCu2Te4
1.0
-6.180 3.626 1.008
-6.346 -3.404 -0.694
-2.619 0.898 6.684
Rb In Cu Te
1 1 2 4
Cartesian
0.000 0.000 0.000
-7.573 0.560 3.499
-4.082 -0.372 2.279
-11.063 1.491 4.720
-4.884 1.430 3.770
-7.147 -2.137 2.721
-9.351 1.695 1.600
-8.909 1.251 5.907
```

***

# 2
Computed, not measured: a relaxed RbInCuTe2 crystal at the PBE level of DFT.

Space-group type   P2/c, No. 13

Cell and atoms, written as POSCAR:
```
RbInCuTe2
1.0
-0.913 2.367 5.179
-8.235 -0.135 -1.391
0.847 -6.281 3.020
Rb In Cu Te
2 2 2 4
Cartesian
-3.705 -4.200 2.835
-4.596 0.152 3.975
-0.360 -0.089 3.997
0.294 -3.825 4.203
0.000 0.000 0.000
0.424 -3.140 1.510
-6.335 -3.625 5.301
-1.983 -2.422 5.518
-6.318 -1.627 1.291
-1.966 -0.424 1.509
```

***

# 3
Computed, not measured: a relaxed RbZnInCu2 crystal at the PBE level of DFT.

ΔE_f   1.859 eV per formula unit
Space-group type   P4/mmm, No. 123

Cell and atoms, written as POSCAR:
```
RbZnInCu2
1.0
-4.750 -1.099 1.640
-0.655 -3.321 -4.122
1.870 -3.872 2.823
Zn Cu Rb In
1 2 1 1
Cartesian
-0.327 -1.661 -2.061
0.935 -1.936 1.411
-2.375 -0.550 0.820
-1.767 -4.146 0.170
0.000 0.000 0.000
```

***

# 4
Computed, not measured: a relaxed In2CuRe crystal at the PBE level of DFT.

ΔE_f   1.961 eV per formula unit
Space-group type   R-3m, No. 166

Cell and atoms, written as POSCAR:
```
In2CuRe
1.0
9.094 -0.013 -0.007
8.590 2.985 -0.007
8.590 1.444 2.613
Cu In Re
1 2 1
Cartesian
19.705 3.312 1.948
0.044 0.007 0.004
13.093 2.201 1.294
6.568 1.104 0.649
```

***

# 5
Computed, not measured: a relaxed In2CuRe crystal at the PBE level of DFT.

ΔE_f   1.757 eV per formula unit
Space-group type   Cmmm, No. 65

Cell and atoms, written as POSCAR:
```
In2CuRe
1.0
4.752 0.026 0.000
-0.951 4.656 0.000
0.000 0.000 3.157
Cu In Re
1 2 1
Cartesian
-0.475 2.328 1.578
0.000 0.000 0.000
1.901 2.341 0.000
2.376 0.013 1.578
```

***

# 6
Computed, not measured: a relaxed In2CuRe crystal at the PBE level of DFT.

ΔE_f   2.203 eV per formula unit
Space-group type   Cmmm, No. 65

Cell and atoms, written as POSCAR:
```
In2CuRe
1.0
-0.272 2.757 -1.160
-0.320 -2.294 -1.913
-8.774 -0.166 1.665
Cu In Re
1 2 1
Cartesian
-6.876 0.107 -0.287
-8.721 -0.165 1.655
-4.439 -0.084 0.843
-2.489 0.190 -1.120
```

***

# 7
Computed, not measured: a relaxed InCu2Re crystal at the PBE level of DFT.

ΔE_f   1.657 eV per formula unit
Space-group type   R3m, No. 160

Cell and atoms, written as POSCAR:
```
InCu2Re
1.0
-3.367 5.643 -6.093
-2.113 3.791 -7.841
-4.730 3.277 -6.870
Cu In Re
2 1 1
Cartesian
-10.191 12.688 -20.765
-2.623 3.265 -5.344
-5.123 6.378 -10.438
-7.588 9.447 -15.462
```

***

# 8
Computed, not measured: a relaxed InCu4Re crystal at the PBE level of DFT.

ΔE_f   2.144 eV per formula unit
Space-group type   F-43m, No. 216

Cell and atoms, written as POSCAR:
```
InCu4Re
1.0
0.000 3.455 3.455
3.455 0.000 3.455
3.455 3.455 0.000
In Cu Re
1 4 1
Cartesian
5.182 5.182 5.182
2.587 4.323 4.323
4.323 4.323 2.587
4.323 2.587 4.323
2.587 2.587 2.587
0.000 0.000 0.000
```

***

# 9
Computed, not measured: a relaxed In2CuRe crystal at the PBE level of DFT.

ΔE_f   2.273 eV per formula unit
Space-group type   P4mm, No. 99

Cell and atoms, written as POSCAR:
```
In2CuRe
1.0
-0.350 1.731 3.061
-0.030 -3.077 1.737
5.757 0.238 0.523
Cu In Re
1 2 1
Cartesian
4.079 -0.497 2.786
5.605 0.232 0.509
1.451 -0.605 2.548
2.878 0.119 0.261
```

***

# 10
Computed, not measured: a relaxed In2CuRe crystal at the PBE level of DFT.

ΔE_f   2.014 eV per formula unit
Space-group type   P4mm, No. 99

Cell and atoms, written as POSCAR:
```
In2CuRe
1.0
2.889 0.003 0.000
-0.003 2.889 0.000
0.000 0.000 9.079
Cu In Re
1 2 1
Cartesian
1.443 1.446 6.532
0.000 0.000 8.632
1.443 1.446 2.669
0.000 0.000 4.866
```

***

# 11
Computed, not measured: a relaxed In2CuRe crystal at the PBE level of DFT.

ΔE_f   3.584 eV per formula unit
Space-group type   I-42d, No. 122

Cell and atoms, written as POSCAR:
```
In2CuRe
1.0
4.058 0.000 0.000
0.000 4.058 0.000
2.029 2.029 9.470
Re Cu In
2 2 4
Cartesian
0.000 0.000 0.000
4.058 2.029 4.735
2.029 2.029 0.000
2.029 4.058 4.735
3.059 1.014 2.367
0.999 3.043 2.367
3.043 3.028 7.102
5.072 5.088 7.102
```

***

# 12
Computed, not measured: a relaxed InCuRe3 crystal at the PBE level of DFT.

ΔE_f   9.412 eV per formula unit
Space-group type   Pm-3m, No. 221

Cell and atoms, written as POSCAR:
```
InCuRe3
1.0
-2.369 3.801 0.443
-3.816 -2.307 -0.610
-0.288 -0.697 4.437
Re Cu In
3 1 1
Cartesian
-1.908 -1.154 -0.305
-0.144 -0.348 2.219
-1.185 1.900 0.221
0.000 0.000 0.000
-3.236 0.399 2.135
```

***

Across the entries above, total energy takes the values -3.22; -3.22; -2.26; -5.01; -5.07; -4.95; -5.43; -4.90; -4.94; -5.00; -4.61; -6.95 eV per atom, respectively.